Density functional theory data (PBE) for crystalline Pm2PrHfN4 at its relaxed geometry.

Output
Formation energy (no corrections): -1.46 eV/atom
Symmetry: No. 10

Unit cell a=3.5013 b=6.1213 c=6.0902 alpha=109.09 beta=90.00 gamma=90.00
Sites, in units of the cell vectors:
Pm  0.5000  0.0000  0.5000
Pm  0.0000  0.5000  0.5000
Pr  0.5000  0.5000  0.0000
Hf  0.0000  0.0000  0.0000
N  0.5000  0.2227  0.2260
N  0.5000  0.7773  0.7740
N  0.0000  0.2280  0.7646
N  0.0000  0.7720  0.2354

Density functional theory data (PBE) for crystalline Tb2SnGe3Pt4 at its relaxed geometry.

Output
Symmetry: No. 115
Energy of formation from the pure elements: -0.858 eV per atom

Unit cell a=4.2585 b=4.2585 c=10.8395 alpha=90.00 beta=90.00 gamma=90.00
Sites, in units of the cell vectors:
Tb  0.5000  0.0000  0.2318
Tb  0.0000  0.5000  0.7682
Sn  0.5000  0.5000  0.5000
Ge  0.0000  0.0000  0.5000
Ge  0.5000  0.0000  0.8709
Ge  0.0000  0.5000  0.1291
Pt  0.5000  0.5000  0.0000
Pt  0.0000  0.0000  0.0000
Pt  0.5000  0.0000  0.6485
Pt  0.0000  0.5000  0.3515

Density functional theory data (PBE) for crystalline SrIn6Ga2 at its relaxed geometry.

Output
Symmetry: No. 123
Energy of formation from the pure elements: -0.144 eV per atom

Unit cell a=4.5971 b=4.5971 c=11.3290 alpha=90.00 beta=90.00 gamma=90.00
Sites, in units of the cell vectors:
Sr  0.0000  0.0000  0.0000
In  0.0000  0.5000  0.2706
In  0.5000  0.0000  0.2706
In  0.0000  0.5000  0.7294
In  0.5000  0.0000  0.7294
In  0.5000  0.5000  0.5000
In  0.0000  0.0000  0.5000
Ga  0.5000  0.5000  0.1122
Ga  0.5000  0.5000  0.8878

Density functional theory data (PBE) for crystalline PaCrGa2 at its relaxed geometry.

Output
Symmetry: No. 123
Energy of formation from the pure elements: -0.014 eV per atom

Unit cell a=4.7711 b=3.8453 c=3.8453 alpha=90.00 beta=90.00 gamma=90.00
Site moments in Bohr magnetons follow the coordinates.
Sites, in units of the cell vectors:
Cr  0.5000  0.5000  0.5000  0.57
Pa  0.5000  0.0000  0.0000  -0.08
Ga  0.0000  0.0000  0.5000  -0.02
Ga  0.0000  0.5000  0.0000  -0.02

Density functional theory data (PBE) for crystalline ErPuFeCo at its relaxed geometry.

Output
Symmetry: No. 216
Energy of formation from the pure elements: 0.000 eV per atom

Unit cell a=4.6821 b=4.6821 c=4.6821 alpha=60.00 beta=60.00 gamma=60.00
Site moments in Bohr magnetons follow the coordinates.
Sites, in units of the cell vectors:
Er  0.0000  0.0000  0.0000  -0.38
Co  0.2500  0.2500  0.2500  0.99
Fe  0.7500  0.7500  0.7500  1.83
Pu  0.5000  0.5000  0.5000  -5.21

Density functional theory data (PBE) for crystalline LaYGaIr at its relaxed geometry.

Output
Symmetry: No. 38
Energy of formation from the pure elements: -0.681 eV per atom

Unit cell a=4.2475 b=4.3921 c=5.6612 alpha=90.00 beta=112.03 gamma=90.00
Sites, in units of the cell vectors:
La  0.1484  0.0000  0.2967
Y  0.8627  0.5000  0.7254
Ga  0.5634  0.5000  0.1267
Ir  0.4256  0.0000  0.8511

These records have final energy values of -8.654; -5.986; -2.829; -6.307; -8.615; -6.500 eV/atom, in the order they appear.
These records have D(E_F) values of 1.24; 6.36; 3.54; 3.98; 5.76; 4.05 states/eV per cell, in the order they appear.
These records have ρ values of 8.96; 12.12; 6.35; 9.94; 12.04; 8.31 g cm⁻³, in the order they appear.